[1]
Density functional theory data (PBEsol) for a relaxed structure of PrGePd.

Cell lengths 4.4510, 7.2779, 7.5946 Å; angles 90.00, 90.00, 90.00 degrees
Positions (direct):
1 Pr 0.2500 0.9956 0.7975
2 Pr 0.2500 0.4956 0.7025
3 Pr 0.7500 0.5044 0.2975
4 Pr 0.7500 0.0044 0.2025
5 Ge 0.7500 0.1924 0.5883
6 Ge 0.2500 0.3076 0.0883
7 Ge 0.7500 0.6924 0.9117
8 Ge 0.2500 0.8076 0.4117
9 Pd 0.2500 0.6939 0.0830
10 Pd 0.2500 0.1939 0.4170
11 Pd 0.7500 0.8061 0.5830
12 Pd 0.7500 0.3061 0.9170

## Properties
Density of states at the Fermi level, states/eV/cell: 9.23
Space group: Pnma, No. 62
Magnetization, Bohr magnetons per cell: 0.00
E_form, eV per atom: -0.93

[2]
Density functional theory data (PBEsol) for a relaxed structure of PrGePd.

Cell lengths 4.4260, 5.6562, 5.8348 Å; angles 78.88, 67.71, 66.97 degrees
Positions (direct):
1 Pd 0.1793 0.3694 0.2720
2 Pd 0.8207 0.6306 0.7280
3 Pr 0.5438 0.2178 0.6946
4 Pr 0.4562 0.7822 0.3054
5 Ge 0.1594 0.7819 0.8992
6 Ge 0.8406 0.2181 0.1008

## Properties
Density of states at the Fermi level, states/eV/cell: 3.56
Space group: C2/m, No. 12
Magnetization, Bohr magnetons per cell: 0.00
E_form, eV per atom: -0.87

[3]
Density functional theory data (PBEsol) for a relaxed structure of GePdPt.

Cell lengths 4.0971, 4.0971, 6.4353 Å; angles 90.00, 90.00, 120.00 degrees
Positions (direct):
1 Pt 0.3333 0.6667 0.1985
2 Pt 0.6667 0.3333 0.6985
3 Ge 0.3333 0.6667 0.8067
4 Ge 0.6667 0.3333 0.3067
5 Pd 0.0000 0.0000 0.9592
6 Pd 0.0000 0.0000 0.4592

## Properties
Density of states at the Fermi level, states/eV/cell: 1.92
Space group: P6_3mc, No. 186
Magnetization, Bohr magnetons per cell: 0.00
E_form, eV per atom: -0.48